Entry 1:
# Ce3In2

Crystalline Ce3In2 at its relaxed geometry (GGA-PBE, Alexandria via LeMat-Bulk).

Calculated values
**Total magnetic moment**: 0.384 μB/atom
**Total DFT energy (no corrections)**: -4.844 eV/atom
**Energy relative to the lowest polymorph listed for this composition**: 0.044 eV per atom
**Crystal system**: orthorhombic
**Energy of formation from the pure elements**: -4.33 kcal/mol of atoms

Unit cell a=7.470 b=9.293 c=8.267 alpha=90.00 beta=90.00 gamma=90.00
Space group Cmc2_1 (No. 36)
Unique sites:
Ce: 0.000 0.227 0.000 [4 per cell]
Ce: 0.241 0.112 0.789 [8 per cell]
In: 0.000 0.131 0.434 [4 per cell]
In: 0.000 0.385 0.628 [4 per cell]

---

Entry 2:
# Ce3In2

Crystalline Ce3In2 at its relaxed geometry (GGA-PBE, Alexandria via LeMat-Bulk).

Calculated values
**Total magnetic moment**: 0.389 μB/atom
**Total DFT energy (no corrections)**: -4.887 eV/atom
**Energy relative to the lowest polymorph listed for this composition**: 0.000 eV per atom
**Crystal system**: orthorhombic
**Energy of formation from the pure elements**: -5.34 kcal/mol of atoms

Unit cell a=11.671 b=15.743 c=5.956 alpha=90.00 beta=90.00 gamma=90.00
Space group Fdd2 (No. 43)
Unique sites:
Ce: 0.000 0.000 0.000 [8 per cell]
Ce: 0.033 0.086 0.483 [16 per cell]
In: 0.018 0.206 0.950 [16 per cell]

---

Entry 3:
# Ce5In2

Crystalline Ce5In2 at its relaxed geometry (GGA-PBE, Alexandria via LeMat-Bulk).

Calculated values
**Total magnetic moment**: 0.528 μB/atom
**Total DFT energy (no corrections)**: -5.204 eV/atom
**Crystal system**: monoclinic
**Energy of formation from the pure elements**: -4.22 kcal/mol of atoms

Unit cell a=11.134 b=5.105 c=6.584 alpha=90.00 beta=91.76 gamma=90.00
Space group C2/m (No. 12)
Unique sites:
Ce: 0.000 0.000 0.000 [2 per cell]
Ce: 0.122 0.000 0.645 [4 per cell]
Ce: 0.215 0.500 0.817 [4 per cell]
In: 0.085 0.500 0.304 [4 per cell]

---

Entry 4:
# Ce8In

Crystalline Ce8In at its relaxed geometry (GGA-PBE, Alexandria via LeMat-Bulk).

Calculated values
**Total magnetic moment**: 0.000 μB/atom
**Total DFT energy (no corrections)**: -5.559 eV/atom
**Energy relative to the lowest polymorph listed for this composition**: 0.063 eV per atom
**Crystal system**: tetragonal
**Energy of formation from the pure elements**: 0.46 kcal/mol of atoms

Unit cell a=11.946 b=11.946 c=3.225 alpha=90.00 beta=90.00 gamma=90.00
Space group I4/mmm (No. 139)
Unique sites:
Ce: 0.000 0.327 0.000 [8 per cell]
Ce: 0.174 0.174 0.500 [8 per cell]
In: 0.000 0.000 0.000 [2 per cell]

---

Entry 5:
# Ce3In4

Crystalline Ce3In4 at its relaxed geometry (GGA-PBE, Alexandria via LeMat-Bulk).

Calculated values
**Total magnetic moment**: 0.376 μB/atom
**Total DFT energy (no corrections)**: -4.443 eV/atom
**Crystal system**: trigonal
**Energy of formation from the pure elements**: -7.72 kcal/mol of atoms

Unit cell a=14.3466 b=14.3466 c=6.6211 alpha=90.00 beta=90.00 gamma=120.00
Space group R-3 (No. 148, hexagonal axes)
Unique sites:
Ce: 0.0515 0.2213 0.2322 [18 per cell]
In: 0.0000 0.0000 0.0000 [3 per cell]
In: 0.0000 0.0000 0.5000 [3 per cell]
In: 0.0592 0.2619 0.7112 [18 per cell]

---

Entry 6:
# Ce5InIr4

Crystalline Ce5InIr4 at its relaxed geometry (GGA-PBE, Alexandria via LeMat-Bulk).

Calculated values
**Total magnetic moment**: 0.128 μB/atom
**Total DFT energy (no corrections)**: -7.334 eV/atom
**Crystal system**: monoclinic
**Energy of formation from the pure elements**: -12.67 kcal/mol of atoms

Unit cell a=14.678 b=4.588 c=7.000 alpha=90.00 beta=91.77 gamma=90.00
Space group C2/m (No. 12)
Unique sites:
Ce: 0.000 0.000 0.000 [2 per cell]
Ce: 0.157 0.500 0.571 [4 per cell]
Ce: 0.191 0.500 0.056 [4 per cell]
In: 0.000 0.000 0.500 [2 per cell]
Ir: 0.023 0.500 0.253 [4 per cell]
Ir: 0.162 0.000 0.288 [4 per cell]

---

Entry 7:
# Ce7In2Ir2

Crystalline Ce7In2Ir2 at its relaxed geometry (GGA-PBE, Alexandria via LeMat-Bulk).

Calculated values
**Total magnetic moment**: 0.403 μB/atom
**Total DFT energy (no corrections)**: -6.256 eV/atom
**Crystal system**: orthorhombic
**Energy of formation from the pure elements**: -8.55 kcal/mol of atoms

Unit cell a=3.684 b=16.951 c=9.383 alpha=90.00 beta=90.00 gamma=90.00
Space group Imm2 (No. 44)
Unique sites:
Ce: 0.000 0.000 0.000 [2 per cell]
Ce: 0.000 0.159 0.407 [4 per cell]
Ce: 0.000 0.330 0.644 [4 per cell]
Ce: 0.000 0.348 0.229 [4 per cell]
In: 0.000 0.000 0.615 [2 per cell]
In: 0.000 0.500 0.821 [2 per cell]
Ir: 0.000 0.202 0.929 [4 per cell]

---

Entry 8:
# Ce5In2Ir

Crystalline Ce5In2Ir at its relaxed geometry (GGA-PBE, Alexandria via LeMat-Bulk).

Calculated values
**Total magnetic moment**: 0.629 μB/atom
**Total DFT energy (no corrections)**: -5.493 eV/atom
**Crystal system**: orthorhombic
**Energy of formation from the pure elements**: 0.18 kcal/mol of atoms

Unit cell a=5.503 b=16.908 c=12.096 alpha=90.00 beta=90.00 gamma=90.00
Space group Cmcm (No. 63)
Unique sites:
Ce: 0.000 0.052 0.093 [8 per cell]
Ce: 0.000 0.277 0.059 [8 per cell]
Ce: 0.000 0.315 0.750 [4 per cell]
In: 0.000 0.136 0.634 [8 per cell]
Ir: 0.000 0.172 0.250 [4 per cell]

---

> total magnetic moment of number 5 (Ce3In4)?

0.376 μB/atom

---

> Number 8 is which compound?

Ce5In2Ir